Here is a geometry-optimized Ag2TeI structure from Alexandria. Energies are from GGA-PBE.

Total energy ... -2.7011 eV per atom
Crystal system ... triclinic
M_tot ... 0.00 μB/cell
Formation energy without anion corrections ... -0.103 eV/atom

Unit cell a=5.0364 b=6.9471 c=6.9822 alpha=99.95 beta=92.35 gamma=93.65
Sites, in units of the cell vectors:
Ag1 0.0000 0.0000 0.0000
Ag2 0.0174 0.4753 0.5056
Ag3 0.5289 0.6814 0.4253
Ag4 0.7316 0.3122 0.8222
Te1 0.0475 0.8508 0.3634
Te2 0.1941 0.1599 0.6790
I1 0.5671 0.7032 0.8548
I2 0.5859 0.2792 0.2192



Here is a geometry-optimized CsTiHgSb2 structure from Alexandria. Energies are from GGA-PBE.

Total energy ... -3.6988 eV per atom
Crystal system ... tetragonal
M_tot ... 0.00 μB/cell
Formation energy without anion corrections ... -0.240 eV/atom

Unit cell a=5.3512 b=5.3512 c=5.7808 alpha=90.00 beta=90.00 gamma=90.00
Sites, in units of the cell vectors:
Cs1 0.0000 0.0000 0.0000
Ti1 0.5000 0.5000 0.5000
Hg1 0.5000 0.5000 0.0000
Sb1 0.0000 0.5000 0.5000
Sb2 0.5000 0.0000 0.5000



Here is a geometry-optimized BaSm2ZnO5 structure from Alexandria. Energies are from GGA-PBE.

Total energy ... -6.9436 eV per atom
Crystal system ... tetragonal
M_tot ... 0.00 μB/cell
Formation energy without anion corrections ... -2.785 eV/atom

Unit cell a=7.5292 b=7.5292 c=7.5292 alpha=126.86 beta=126.86 gamma=78.48
Sites, in units of the cell vectors:
Ba1 0.2500 0.2500 0.0000
Ba2 0.7500 0.7500 0.0000
Sm1 0.1744 0.6744 0.8488
Sm2 0.3256 0.1744 0.5000
Sm3 0.6744 0.8256 0.5000
Sm4 0.8256 0.3256 0.1512
Zn1 0.2500 0.7500 0.5000
Zn2 0.7500 0.2500 0.5000
O1 0.0000 0.0000 0.0000
O2 0.0158 0.2265 0.5000
O3 0.2265 0.7265 0.2108
O4 0.2735 0.4842 0.5000
O5 0.4842 0.9842 0.2108
O6 0.5000 0.5000 0.0000
O7 0.5158 0.0158 0.7892
O8 0.7265 0.5158 0.5000
O9 0.7735 0.2735 0.7892
O10 0.9842 0.7735 0.5000



Here is a geometry-optimized PuCoC structure from Alexandria. Energies are from GGA-PBE.

Total energy ... -10.1785 eV per atom
Crystal system ... hexagonal
E_form ... 0.042 eV per atom
M_tot ... 3.87 μB/cell

Unit cell a=3.5192 b=3.5192 c=3.7134 alpha=90.00 beta=90.00 gamma=120.00
Sites, in units of the cell vectors:
Pu1 0.0000 0.0000 0.0000
Co1 0.6667 0.3333 0.5000
C1 0.3333 0.6667 0.5000